Record 1
Below is a relaxed structure of LaBiSb2I, with properties calculated at the GGA-PBE level.

Cell lengths 6.186, 6.186, 5.929 Å; angles 90.00, 90.00, 90.00 degrees
Space group P4/mmm (No. 123)
Asymmetric unit:
1 La 0.000 0.000 0.000 [1 per cell]
2 Bi 0.500 0.500 0.500 [1 per cell]
3 Sb 0.000 0.500 0.000 [2 per cell]
4 I 0.000 0.000 0.500 [1 per cell]

Summary:
size of the total moment = 0.00 μB per formula unit
E_form (uncorrected) = 0.262 eV/atom

=====

Record 2
Below is a relaxed structure of La4BiSe2I, with properties calculated at the GGA-PBE level.

Cell lengths 7.699, 4.461, 7.894 Å; angles 90.00, 109.10, 90.00 degrees
Space group P2/m (No. 10)
Asymmetric unit:
1 La 0.228 0.000 0.211 [2 per cell]
2 La 0.252 0.500 0.782 [2 per cell]
3 Bi 0.000 0.000 0.500 [1 per cell]
4 Se 0.000 0.500 0.000 [1 per cell]
5 Se 0.500 0.000 0.000 [1 per cell]
6 I 0.500 0.500 0.500 [1 per cell]

Summary:
size of the total moment = 0.00 μB per formula unit
E_form (uncorrected) = -1.526 eV/atom

=====

Record 3
Below is a relaxed structure of La6Si2BiI3, with properties calculated at the GGA-PBE level.

Cell lengths 20.213, 4.510, 9.349 Å; angles 90.00, 105.01, 90.00 degrees
Space group C2/m (No. 12)
Asymmetric unit:
1 La 0.020 0.000 0.254 [4 per cell]
2 La 0.168 0.500 0.131 [4 per cell]
3 La 0.177 0.500 0.560 [4 per cell]
4 Si 0.169 0.000 0.339 [4 per cell]
5 Bi 0.000 0.500 0.000 [2 per cell]
6 I 0.000 0.500 0.500 [2 per cell]
7 I 0.162 0.000 0.835 [4 per cell]

Summary:
size of the total moment = 0.00 μB per formula unit
E_form (uncorrected) = -1.040 eV/atom

=====

Record 4
Below is a relaxed structure of La4SiBiI2, with properties calculated at the GGA-PBE level.

Cell lengths 8.040, 4.532, 8.089 Å; angles 90.00, 108.74, 90.00 degrees
Space group P2/m (No. 10)
Asymmetric unit:
1 La 0.207 0.000 0.213 [2 per cell]
2 La 0.219 0.500 0.768 [2 per cell]
3 Si 0.000 0.500 0.000 [1 per cell]
4 Bi 0.000 0.000 0.500 [1 per cell]
5 I 0.500 0.000 0.000 [1 per cell]
6 I 0.500 0.500 0.500 [1 per cell]

Summary:
size of the total moment = 0.00 μB per formula unit
E_form (uncorrected) = -1.046 eV/atom

=====

Record 5
Below is a relaxed structure of La4SnBi2I, with properties calculated at the GGA-PBE level.

Cell lengths 8.068, 4.696, 8.081 Å; angles 90.00, 109.42, 90.00 degrees
Space group P2/m (No. 10)
Asymmetric unit:
1 La 0.236 0.000 0.243 [2 per cell]
2 La 0.241 0.500 0.748 [2 per cell]
3 Sn 0.000 0.000 0.500 [1 per cell]
4 Bi 0.000 0.500 0.000 [1 per cell]
5 Bi 0.500 0.000 0.000 [1 per cell]
6 I 0.500 0.500 0.500 [1 per cell]

Summary:
size of the total moment = 0.00 μB per formula unit
E_form (uncorrected) = -1.021 eV/atom

=====

Record 6
Below is a relaxed structure of SrLaBiI, with properties calculated at the GGA-PBE level.

Cell lengths 8.163, 8.163, 8.163 Å; angles 90.00, 90.00, 90.00 degrees
Space group F-43m (No. 216)
Asymmetric unit:
1 Sr 0.000 0.000 0.000 [4 per cell]
2 La 0.000 0.000 0.500 [4 per cell]
3 Bi 0.250 0.250 0.250 [4 per cell]
4 I 0.250 0.250 0.750 [4 per cell]

Summary:
excess energy over the best structure of this formula in the dataset = 95 meV/atom
size of the total moment = 0.79 μB per formula unit
E_form (uncorrected) = -0.963 eV/atom

=====

Record 7
Below is a relaxed structure of SrLaBiI, with properties calculated at the GGA-PBE level.

Cell lengths 5.0172, 5.0172, 48.4942 Å; angles 90.00, 90.00, 120.00 degrees
Space group R-3m (No. 166, hexagonal axes)
Asymmetric unit:
1 Sr 0.0000 0.0000 0.0943 [6 per cell]
2 La 0.0000 0.0000 0.3095 [6 per cell]
3 Bi 0.0000 0.0000 0.3860 [6 per cell]
4 I 0.0000 0.0000 0.2048 [6 per cell]

Summary:
excess energy over the best structure of this formula in the dataset = 0 meV/atom
size of the total moment = 0.32 μB per formula unit
E_form (uncorrected) = -1.058 eV/atom

=====

Record 8
Below is a relaxed structure of La3BiTeI, with properties calculated at the GGA-PBE level.

Cell lengths 9.549, 4.481, 11.292 Å; angles 90.00, 90.10, 90.00 degrees
Space group P2_1/m (No. 11)
Asymmetric unit:
1 La 0.124 0.250 0.373 [2 per cell]
2 La 0.366 0.750 0.080 [2 per cell]
3 La 0.369 0.750 0.651 [2 per cell]
4 Bi 0.378 0.750 0.363 [2 per cell]
5 Te 0.122 0.250 0.663 [2 per cell]
6 I 0.128 0.250 0.083 [2 per cell]

Summary:
size of the total moment = 1.10 μB per formula unit
E_form (uncorrected) = -1.060 eV/atom

=====

Record 9
Below is a relaxed structure of LaBiTe2I, with properties calculated at the GGA-PBE level.

Cell lengths 6.204, 6.204, 6.006 Å; angles 90.00, 90.00, 90.00 degrees
Space group P4/mmm (No. 123)
Asymmetric unit:
1 La 0.000 0.000 0.000 [1 per cell]
2 Bi 0.500 0.500 0.500 [1 per cell]
3 Te 0.000 0.500 0.000 [2 per cell]
4 I 0.000 0.000 0.500 [1 per cell]

Summary:
excess energy over the best structure of this formula in the dataset = 0 meV/atom
size of the total moment = 0.00 μB per formula unit
E_form (uncorrected) = -0.227 eV/atom

=====

Record 10
Below is a relaxed structure of LaBiTe2I, with properties calculated at the GGA-PBE level.

Cell lengths 5.983, 5.983, 5.855 Å; angles 90.00, 90.00, 90.00 degrees
Space group P4/mmm (No. 123)
Asymmetric unit:
1 La 0.000 0.000 0.000 [1 per cell]
2 Bi 0.500 0.500 0.500 [1 per cell]
3 Te 0.000 0.500 0.500 [2 per cell]
4 I 0.500 0.500 0.000 [1 per cell]

Summary:
excess energy over the best structure of this formula in the dataset = 53 meV/atom
size of the total moment = 0.39 μB per formula unit
E_form (uncorrected) = -0.174 eV/atom

=====

Record 11
Below is a relaxed structure of LaBiW2I, with properties calculated at the GGA-PBE level.

Cell lengths 4.947, 4.947, 5.985 Å; angles 90.00, 90.00, 90.00 degrees
Space group P4/mmm (No. 123)
Asymmetric unit:
1 La 0.000 0.000 0.000 [1 per cell]
2 Bi 0.500 0.500 0.000 [1 per cell]
3 W 0.000 0.500 0.500 [2 per cell]
4 I 0.500 0.500 0.500 [1 per cell]

Summary:
size of the total moment = 0.00 μB per formula unit
E_form (uncorrected) = 1.805 eV/atom

=====

Record 12
Below is a relaxed structure of LaYBiI, with properties calculated at the GGA-PBE level.

Cell lengths 7.875, 7.875, 7.875 Å; angles 90.00, 90.00, 90.00 degrees
Space group F-43m (No. 216)
Asymmetric unit:
1 La 0.000 0.000 0.000 [4 per cell]
2 Y 0.000 0.000 0.500 [4 per cell]
3 Bi 0.250 0.250 0.250 [4 per cell]
4 I 0.250 0.250 0.750 [4 per cell]

Summary:
size of the total moment = 0.87 μB per formula unit
E_form (uncorrected) = -0.844 eV/atom

=====

Record 13
Below is a relaxed structure of Li3BiI, with properties calculated at the GGA-PBE level.

Cell lengths 5.191, 5.191, 5.191 Å; angles 90.00, 90.00, 90.00 degrees
Space group Pm-3m (No. 221)
Asymmetric unit:
1 Li 0.000 0.000 0.500 [3 per cell]
2 Bi 0.500 0.500 0.500 [1 per cell]
3 I 0.000 0.000 0.000 [1 per cell]

Summary:
excess energy over the best structure of this formula in the dataset = 0 meV/atom
size of the total moment = 0.00 μB per formula unit
E_form (uncorrected) = -0.355 eV/atom

=====

Record 14
Below is a relaxed structure of Li2BiI5, with properties calculated at the GGA-PBE level.

Cell lengths 6.245, 7.631, 7.694 Å; angles 77.91, 66.06, 65.87 degrees
Space group P1 (No. 1)
Asymmetric unit:
1 Li 0.000 0.000 0.000 [1 per cell]
2 Li 0.385 0.393 0.871 [1 per cell]
3 Bi 0.191 0.196 0.435 [1 per cell]
4 I 0.109 0.586 0.210 [1 per cell]
5 I 0.272 0.807 0.660 [1 per cell]
6 I 0.481 0.008 0.045 [1 per cell]
7 I 0.692 0.195 0.434 [1 per cell]
8 I 0.901 0.385 0.824 [1 per cell]

Summary:
size of the total moment = 0.00 μB per formula unit
E_form (uncorrected) = -0.766 eV/atom

=====

Record 15
Below is a relaxed structure of LiBiI4, with properties calculated at the GGA-PBE level.

Cell lengths 17.322, 4.360, 7.656 Å; angles 90.00, 115.20, 90.00 degrees
Space group C2/m (No. 12)
Asymmetric unit:
1 Li 0.000 0.000 0.000 [2 per cell]
2 Bi 0.000 0.500 0.500 [2 per cell]
3 I 0.106 0.500 0.941 [4 per cell]
4 I 0.118 0.000 0.448 [4 per cell]

Summary:
size of the total moment = 0.00 μB per formula unit
E_form (uncorrected) = -0.693 eV/atom

=====

Record 16
Below is a relaxed structure of Li2BiI6, with properties calculated at the GGA-PBE level.

Cell lengths 14.407, 4.553, 11.722 Å; angles 90.00, 105.35, 90.00 degrees
Space group C2/m (No. 12)
Asymmetric unit:
1 Li 0.207 0.000 0.192 [4 per cell]
2 Bi 0.000 0.000 0.500 [2 per cell]
3 I 0.028 0.000 0.251 [4 per cell]
4 I 0.157 0.500 0.574 [4 per cell]
5 I 0.170 0.500 0.062 [4 per cell]

Summary:
size of the total moment = 0.39 μB per formula unit
E_form (uncorrected) = -0.600 eV/atom

=====

Record 17
Below is a relaxed structure of LiBiI3, with properties calculated at the GGA-PBE level.

Cell lengths 6.275, 6.275, 6.275 Å; angles 90.00, 90.00, 90.00 degrees
Space group Pm-3m (No. 221)
Asymmetric unit:
1 Li 0.000 0.000 0.000 [1 per cell]
2 Bi 0.500 0.500 0.500 [1 per cell]
3 I 0.000 0.500 0.500 [3 per cell]

Summary:
excess energy over the best structure of this formula in the dataset = 258 meV/atom
size of the total moment = 0.00 μB per formula unit
E_form (uncorrected) = -0.325 eV/atom

=====

Record 18
Below is a relaxed structure of LiBiI3, with properties calculated at the GGA-PBE level.

Cell lengths 7.435, 7.556, 8.556 Å; angles 73.75, 69.15, 77.82 degrees
Space group P-1 (No. 2)
Asymmetric unit:
1 Li 0.012 0.331 0.366 [2 per cell]
2 Bi 0.335 0.012 0.809 [2 per cell]
3 I 0.010 0.721 0.289 [2 per cell]
4 I 0.322 0.248 0.079 [2 per cell]
5 I 0.355 0.768 0.589 [2 per cell]

Summary:
excess energy over the best structure of this formula in the dataset = 0 meV/atom
size of the total moment = 0.00 μB per formula unit
E_form (uncorrected) = -0.583 eV/atom

=====

Record 19
Below is a relaxed structure of LiBiI4, with properties calculated at the GGA-PBE level.

Cell lengths 7.650, 4.367, 8.082 Å; angles 90.00, 107.22, 90.00 degrees
Space group P2/m (No. 10)
Asymmetric unit:
1 Li 0.000 0.000 0.000 [1 per cell]
2 Bi 0.500 0.500 0.000 [1 per cell]
3 I 0.228 0.500 0.216 [2 per cell]
4 I 0.259 0.000 0.761 [2 per cell]

Summary:
size of the total moment = 0.00 μB per formula unit
E_form (uncorrected) = -0.694 eV/atom

=====

Record 20
Below is a relaxed structure of LiBiI3, with properties calculated at the GGA-PBE level.

Cell lengths 5.449, 5.449, 5.449 Å; angles 90.00, 90.00, 90.00 degrees
Space group Pm-3m (No. 221)
Asymmetric unit:
1 Li 0.000 0.000 0.000 [1 per cell]
2 Bi 0.500 0.500 0.500 [1 per cell]
3 I 0.000 0.000 0.500 [3 per cell]

Summary:
excess energy over the best structure of this formula in the dataset = 362 meV/atom
size of the total moment = 0.00 μB per formula unit
E_form (uncorrected) = -0.221 eV/atom

=====

Record 21
Below is a relaxed structure of LiBiI, with properties calculated at the GGA-PBE level.

Cell lengths 4.549, 4.552, 12.851 Å; angles 98.86, 91.27, 119.89 degrees
Space group P-1 (No. 2)
Asymmetric unit:
1 Li 0.060 0.155 0.209 [2 per cell]
2 Bi 0.191 0.374 0.565 [2 per cell]
3 I 0.379 0.798 0.171 [2 per cell]

Summary:
size of the total moment = 0.00 μB per formula unit
E_form (uncorrected) = -0.701 eV/atom

=====

Record 22
Below is a relaxed structure of Li2BiMoI, with properties calculated at the GGA-PBE level.

Cell lengths 4.863, 4.863, 6.596 Å; angles 90.00, 90.00, 90.00 degrees
Space group P4/mmm (No. 123)
Asymmetric unit:
1 Li 0.000 0.500 0.000 [2 per cell]
2 Bi 0.000 0.000 0.500 [1 per cell]
3 Mo 0.500 0.500 0.500 [1 per cell]
4 I 0.000 0.000 0.000 [1 per cell]

Summary:
size of the total moment = 3.93 μB per formula unit
E_form (uncorrected) = 0.739 eV/atom

=====

Record 23
Below is a relaxed structure of LiBiI2N, with properties calculated at the GGA-PBE level.

Cell lengths 5.693, 5.693, 4.004 Å; angles 90.00, 90.00, 90.00 degrees
Space group P4/mmm (No. 123)
Asymmetric unit:
1 Li 0.000 0.000 0.000 [1 per cell]
2 Bi 0.500 0.500 0.500 [1 per cell]
3 I 0.000 0.500 0.000 [2 per cell]
4 N 0.000 0.000 0.500 [1 per cell]

Summary:
excess energy over the best structure of this formula in the dataset = 249 meV/atom
size of the total moment = 1.94 μB per formula unit
E_form (uncorrected) = 0.544 eV/atom

=====

Record 24
Below is a relaxed structure of LiBiI2N, with properties calculated at the GGA-PBE level.

Cell lengths 6.400, 6.400, 4.279 Å; angles 90.00, 90.00, 90.00 degrees
Space group P4/mmm (No. 123)
Asymmetric unit:
1 Li 0.000 0.000 0.000 [1 per cell]
2 Bi 0.500 0.500 0.500 [1 per cell]
3 I 0.000 0.500 0.500 [2 per cell]
4 N 0.500 0.500 0.000 [1 per cell]

Summary:
excess energy over the best structure of this formula in the dataset = 0 meV/atom
size of the total moment = 0.27 μB per formula unit
E_form (uncorrected) = 0.295 eV/atom

=====

Record 25
Below is a relaxed structure of NaLi2BiI6, with properties calculated at the GGA-PBE level.

Cell lengths 7.7476, 7.7476, 21.1578 Å; angles 90.00, 90.00, 120.00 degrees
Space group R3 (No. 146, hexagonal axes)
Asymmetric unit:
1 Na 0.0000 0.0000 0.0000 [3 per cell]
2 Li 0.0000 0.0000 0.3019 [3 per cell]
3 Li 0.0000 0.0000 0.8111 [3 per cell]
4 Bi 0.0000 0.0000 0.4885 [3 per cell]
5 I 0.0062 0.6308 0.0633 [9 per cell]
6 I 0.0087 0.3559 0.5621 [9 per cell]

Summary:
size of the total moment = 0.00 μB per formula unit
E_form (uncorrected) = -0.887 eV/atom

=====

Record 26
Below is a relaxed structure of Na2LiBiI6, with properties calculated at the GGA-PBE level.

Cell lengths 7.7597, 7.7597, 23.2709 Å; angles 90.00, 90.00, 120.00 degrees
Space group R3 (No. 146, hexagonal axes)
Asymmetric unit:
1 Na 0.0000 0.0000 0.0000 [3 per cell]
2 Na 0.0000 0.0000 0.4960 [3 per cell]
3 Li 0.0000 0.0000 0.6646 [3 per cell]
4 Bi 0.0000 0.0000 0.3239 [3 per cell]
5 I 0.0006 0.3218 0.5860 [9 per cell]
6 I 0.0030 0.6461 0.0712 [9 per cell]

Summary:
excess energy over the best structure of this formula in the dataset = 0 meV/atom
size of the total moment = 0.00 μB per formula unit
E_form (uncorrected) = -0.920 eV/atom